## LiZnHg4 (PBEsol)

Data for a geometry-optimized LiZnHg4 structure.

Results
- ΔH_f (0 K): 97 meV per atom
- M_tot: 0.0 μB per formula unit

```
LiZnHg4
1.0
-0.7819 2.4189 -5.2527
-5.3990 0.9068 -2.0202
-2.0803 5.4352 -0.4289
Hg Zn Li
4 1 1
direct
0.3751 0.3751 0.3751
0.3751 0.8746 0.3751
0.3751 0.3751 0.8746
0.8746 0.3751 0.3751
0.0000 0.0000 0.0000
0.7500 0.7500 0.7500
```

***

## LiZr2Hg (PBEsol)

Data for a geometry-optimized LiZr2Hg structure.

Results
- ΔH_f (0 K): -61 meV per atom
- M_tot: 0.0 μB per formula unit

```
LiZr2Hg
1.0
-0.9258 -2.2880 -2.3889
2.3552 -3.2050 2.1569
-4.0583 -1.1699 2.6931
Zr Hg Li
2 1 1
direct
0.5000 0.5000 0.0000
0.0000 0.0000 0.0000
0.5000 0.0000 0.5000
0.0000 0.5000 0.5000
```

***

## LiZr2Hg (PBEsol)

Data for a geometry-optimized LiZr2Hg structure.

Results
- ΔH_f (0 K): -9 meV per atom
- M_tot: 0.0 μB per formula unit

```
LiZr2Hg
1.0
-1.9134 0.1683 2.2197
-2.6797 -2.9096 -3.7858
4.1862 -2.9116 2.7366
Zr Li Hg
2 1 1
direct
0.0000 0.0000 0.5000
0.5000 0.5000 0.5000
0.0000 0.5000 0.0000
0.5000 0.0000 0.0000
```